1.
The following is a DFT calculation (meta-GGA SCAN) of Na2Li2Hg at its PBEsol-relaxed geometry.

Structure (extended XYZ):
```
10
Lattice="7.0101 0.0000 0.0000 0.0000 7.0101 0.0000 0.0000 0.0000 5.0156" Properties=species:S:1:pos:R:3 pbc="T T T"
Na 1.2641 2.2409 0.0000
Na 2.2409 5.7460 0.0000
Na 4.7692 1.2641 0.0000
Na 5.7460 4.7692 0.0000
Li 1.0138 4.5189 2.5078
Li 2.4913 1.0138 2.5078
Li 4.5189 5.9964 2.5078
Li 5.9964 2.4913 2.5078
Hg 0.0000 0.0000 2.5078
Hg 3.5051 3.5051 2.5078
```

Calculated values
SG   No. 127
Mass density   3.5 g/cm³
D(E_F)   0.39 states/eV/atom
Calculated formation energy   -0.16 eV/atom

=====

2.
The following is a DFT calculation (meta-GGA SCAN) of FeRe5 at its PBEsol-relaxed geometry.

Structure (extended XYZ):
```
6
Lattice="1.9109 -5.7230 0.0000 1.9109 5.7230 0.0000 0.0000 0.0000 3.8280" Properties=species:S:1:pos:R:3 pbc="T T T"
Fe 0.0000 0.0000 0.0000
Re 1.9109 3.8707 1.9140
Re 1.9109 1.8517 0.0000
Re 1.9109 0.0000 1.9140
Re 1.9109 -1.8517 0.0000
Re 1.9109 -3.8707 1.9140
```

Calculated values
SG   No. 65
Mass density   19.6 g/cm³
D(E_F)   0.76 states/eV/atom
Calculated formation energy   0.08 eV/atom

=====

3.
The following is a DFT calculation (meta-GGA SCAN) of BaLi2Ag at its PBEsol-relaxed geometry.

Structure (extended XYZ):
```
4
Lattice="4.0245 0.0000 0.0000 0.0000 4.3952 0.0000 -1.9741 0.0000 6.4733" Properties=species:S:1:pos:R:3 pbc="T T T"
Ba 0.0000 0.0000 0.0000
Li 0.0408 0.0000 3.4252
Li 2.0453 2.1976 2.9392
Ag 0.0375 2.1976 4.8845
```

Calculated values
SG   No. 6
Mass density   3.8 g/cm³
D(E_F)   0.57 states/eV/atom
Calculated formation energy   -0.09 eV/atom

=====

4.
The following is a DFT calculation (meta-GGA SCAN) of SrBeSb at its PBEsol-relaxed geometry.

Structure (extended XYZ):
```
3
Lattice="4.2063 0.0000 0.0000 -2.1031 3.6427 0.0000 0.0000 0.0000 4.7086" Properties=species:S:1:pos:R:3 pbc="T T T"
Sr 0.0000 0.0000 0.0000
Be 0.0000 2.4285 2.3543
Sb 2.1031 1.2142 2.3543
```

Calculated values
E_form (uncorrected)   -543 meV/atom
SG   No. 187
Mass density   5.0 g/cm³
D(E_F)   0.43 states/eV/atom

=====

5.
The following is a DFT calculation (meta-GGA SCAN) of Sc2TlPt at its PBEsol-relaxed geometry.

Structure (extended XYZ):
```
4
Lattice="-1.6817 2.3122 5.2277 1.6817 -2.3122 5.2277 1.6817 2.3122 -5.2277" Properties=species:S:1:pos:R:3 pbc="T T T"
Sc 0.0000 0.0000 0.0000
Sc 0.0000 2.3122 2.2188
Tl 1.6817 0.0000 2.9693
Pt 0.0000 0.0000 5.3535
```

Calculated values
SG   No. 44
Mass density   10.0 g/cm³
D(E_F)   0.64 states/eV/atom
Calculated formation energy   -0.81 eV/atom

=====

6.
The following is a DFT calculation (meta-GGA SCAN) of SrLaSe2 at its PBEsol-relaxed geometry.

Structure (extended XYZ):
```
4
Lattice="2.1416 1.2364 7.1058 -2.1416 1.2364 7.1058 0.0000 -2.4729 7.1058" Properties=species:S:1:pos:R:3 pbc="T T T"
Sr 0.0000 0.0000 0.0000
La 0.0000 0.0000 10.6587
Se 0.0000 0.0000 5.2980
Se 0.0000 0.0000 16.0194
```

Calculated values
E_form (uncorrected)   -2228 meV/atom
SG   No. 166
Mass density   5.7 g/cm³
D(E_F)   0.38 states/eV/atom

=====

7.
The following is a DFT calculation (meta-GGA SCAN) of ReNiW2 at its PBEsol-relaxed geometry.

Structure (extended XYZ):
```
4
Lattice="3.8608 0.0000 0.0000 0.0000 3.8608 0.0000 0.0000 0.0000 3.7844" Properties=species:S:1:pos:R:3 pbc="T T T"
Re 0.0000 0.0000 0.0000
Ni 1.9304 1.9304 0.0000
W 0.0000 1.9304 1.8922
W 1.9304 0.0000 1.8922
```

Calculated values
SG   No. 123
Mass density   18.0 g/cm³
D(E_F)   0.52 states/eV/atom
Calculated formation energy   0.07 eV/atom

=====

8.
The following is a DFT calculation (meta-GGA SCAN) of TiTlO2 at its PBEsol-relaxed geometry.

Structure (extended XYZ):
```
4
Lattice="1.6957 0.9790 6.8729 -1.6957 0.9790 6.8729 0.0000 -1.9581 6.8729" Properties=species:S:1:pos:R:3 pbc="T T T"
Ti 0.0000 0.0000 0.0000
Tl 0.0000 0.0000 10.3093
O 0.0000 0.0000 1.7985
O 0.0000 0.0000 18.8201
```

Calculated values
E_form (uncorrected)   -1036 meV/atom
SG   No. 166
Mass density   6.9 g/cm³
D(E_F)   1.07 states/eV/atom

=====

9.
The following is a DFT calculation (meta-GGA SCAN) of KInN3 at its PBEsol-relaxed geometry.

Structure (extended XYZ):
```
5
Lattice="4.4085 0.0000 0.0000 0.0000 4.4085 0.0000 0.0000 0.0000 4.4085" Properties=species:S:1:pos:R:3 pbc="T T T"
K 0.0000 0.0000 0.0000
In 2.2042 2.2042 2.2042
N 0.0000 2.2042 2.2042
N 2.2042 0.0000 2.2042
N 2.2042 2.2042 0.0000
```

Calculated values
E_form (uncorrected)   1282 meV/atom
SG   No. 221
Mass density   3.8 g/cm³
D(E_F)   0.34 states/eV/atom

=====

10.
The following is a DFT calculation (meta-GGA SCAN) of La2Ru at its PBEsol-relaxed geometry.

Structure (extended XYZ):
```
9
Lattice="7.3831 0.0000 0.0000 -3.6915 6.3939 0.0000 0.0000 0.0000 4.9401" Properties=species:S:1:pos:R:3 pbc="T T T"
La -1.0361 1.7946 0.0000
La -2.2447 3.8879 2.4700
La 2.0722 0.0000 0.0000
La 1.4468 2.5060 2.4700
La 4.4894 0.0000 2.4700
La 2.6554 4.5994 0.0000
Ru 0.0000 0.0000 2.4700
Ru 0.0000 4.2626 0.0000
Ru 3.6915 2.1313 0.0000
```

Calculated values
SG   No. 189
Mass density   8.1 g/cm³
D(E_F)   0.65 states/eV/atom
Calculated formation energy   -0.29 eV/atom

=====

11.
The following is a DFT calculation (meta-GGA SCAN) of Sb2RuRh at its PBEsol-relaxed geometry.

Structure (extended XYZ):
```
4
Lattice="4.0949 -1.6009 0.0000 4.0949 1.6009 0.0000 -1.2314 0.0000 5.3597" Properties=species:S:1:pos:R:3 pbc="T T T"
Sb 1.7303 0.0000 1.3166
Sb 5.2282 0.0000 4.0432
Ru 4.0949 0.0000 0.0000
Rh -0.6157 0.0000 2.6799
```

Calculated values
E_form (uncorrected)   -24 meV/atom
SG   No. 12
Mass density   10.6 g/cm³
D(E_F)   0.72 states/eV/atom

=====

12.
The following is a DFT calculation (meta-GGA SCAN) of ZnWBr2 at its PBEsol-relaxed geometry.

Structure (extended XYZ):
```
4
Lattice="-1.5295 2.2542 6.7166 1.5295 -2.2542 6.7166 1.5295 2.2542 -6.7166" Properties=species:S:1:pos:R:3 pbc="T T T"
Zn 0.0000 0.0000 0.0000
W 0.0000 0.0000 6.7166
Br 1.5295 0.0000 4.6521
Br 0.0000 2.2542 2.0644
```

Calculated values
E_form (uncorrected)   284 meV/atom
SG   No. 71
Mass density   7.3 g/cm³
D(E_F)   0.39 states/eV/atom

=====

13.
The following is a DFT calculation (meta-GGA SCAN) of HgSbIr2 at its PBEsol-relaxed geometry.

Structure (extended XYZ):
```
8
Lattice="-3.6243 3.6243 2.8406 3.6243 -3.6243 2.8406 3.6243 3.6243 -2.8406" Properties=species:S:1:pos:R:3 pbc="T T T"
Hg 0.0000 0.0000 0.0000
Hg 0.0000 3.6243 1.4203
Sb 3.6243 0.0000 1.4203
Sb 0.0000 0.0000 2.8406
Ir 1.8122 -1.6214 2.1305
Ir 2.0030 1.8122 0.7102
Ir 1.8122 5.2457 -0.7102
Ir 1.6214 1.8122 3.5508
```

Calculated values
E_form (uncorrected)   577 meV/atom
SG   No. 122
Mass density   15.7 g/cm³
D(E_F)   0.71 states/eV/atom

=====

14.
The following is a DFT calculation (meta-GGA SCAN) of Nd2Ge3Pd at its PBEsol-relaxed geometry.

Structure (extended XYZ):
```
6
Lattice="4.0748 0.0000 0.0000 0.0000 4.3473 0.0000 0.0000 0.0000 7.2419" Properties=species:S:1:pos:R:3 pbc="T T T"
Nd 0.0000 0.0000 0.0000
Nd 0.0000 2.1736 3.5807
Ge 2.0374 0.0000 2.4011
Ge 2.0374 0.0000 4.8670
Ge 2.0374 2.1736 1.1562
Pd 2.0374 2.1736 5.9760
```

Calculated values
SG   No. 25
Mass density   7.9 g/cm³
D(E_F)   0.32 states/eV/atom
Calculated formation energy   -0.94 eV/atom

=====

15.
The following is a DFT calculation (meta-GGA SCAN) of Mn2IrPt at its PBEsol-relaxed geometry.

Structure (extended XYZ):
```
4
Lattice="1.3215 0.7629 8.5175 -1.3215 0.7629 8.5175 0.0000 -1.5259 8.5175" Properties=species:S:1:pos:R:3 pbc="T T T"
Mn 0.0000 0.0000 0.0000
Mn 0.0000 0.0000 6.5917
Ir 0.0000 0.0000 19.0648
Pt 0.0000 0.0000 12.9569
```

Calculated values
SG   No. 160
Mass density   16.0 g/cm³
D(E_F)   0.95 states/eV/atom
Calculated formation energy   -0.17 eV/atom

=====

16.
The following is a DFT calculation (meta-GGA SCAN) of AgHg2Os at its PBEsol-relaxed geometry.

Structure (extended XYZ):
```
4
Lattice="-1.4264 2.5702 4.8622 1.4264 -2.5702 4.8622 1.4264 2.5702 -4.8622" Properties=species:S:1:pos:R:3 pbc="T T T"
Ag 0.0000 0.0000 0.0000
Hg 1.4264 0.0000 2.4727
Hg 0.0000 2.5702 2.3895
Os 0.0000 0.0000 4.8622
```

Calculated values
SG   No. 71
Mass density   16.3 g/cm³
D(E_F)   0.68 states/eV/atom
Calculated formation energy   0.81 eV/atom

=====

17.
The following is a DFT calculation (meta-GGA SCAN) of RbOsO2F at its PBEsol-relaxed geometry.

Structure (extended XYZ):
```
5
Lattice="4.3323 0.0000 0.0000 0.0000 4.3323 0.0000 0.0000 0.0000 4.6139" Properties=species:S:1:pos:R:3 pbc="T T T"
Rb 0.0000 0.0000 0.0000
Os 2.1661 2.1661 2.3070
O 0.0000 2.1661 0.0000
O 2.1661 0.0000 0.0000
F 0.0000 0.0000 2.3070
```

Calculated values
E_form (uncorrected)   1486 meV/atom
SG   No. 123
Mass density   6.3 g/cm³
D(E_F)   0.36 states/eV/atom

=====

18.
The following is a DFT calculation (meta-GGA SCAN) of MgSb2TeI at its PBEsol-relaxed geometry.

Structure (extended XYZ):
```
5
Lattice="5.6995 0.0000 0.0000 0.0000 5.6995 0.0000 0.0000 0.0000 5.7918" Properties=species:S:1:pos:R:3 pbc="T T T"
Mg 0.0000 0.0000 0.0000
Sb 0.0000 2.8497 2.8959
Sb 2.8497 0.0000 2.8959
Te 2.8497 2.8497 2.8959
I 2.8497 2.8497 0.0000
```

Calculated values
E_form (uncorrected)   671 meV/atom
SG   No. 123
Mass density   4.6 g/cm³
D(E_F)   1.15 states/eV/atom

=====

19.
The following is a DFT calculation (meta-GGA SCAN) of BeAlCd at its PBEsol-relaxed geometry.

Structure (extended XYZ):
```
3
Lattice="-1.4095 1.4095 5.8582 1.4095 -1.4095 5.8582 1.4095 1.4095 -5.8582" Properties=species:S:1:pos:R:3 pbc="T T T"
Be 0.0000 0.0000 0.0000
Al 0.0000 0.0000 4.3068
Cd 0.0000 0.0000 7.7446
```

Calculated values
SG   No. 107
Mass density   5.3 g/cm³
D(E_F)   0.31 states/eV/atom
Calculated formation energy   0.28 eV/atom

=====

20.
The following is a DFT calculation (meta-GGA SCAN) of CaNiPt2 at its PBEsol-relaxed geometry.

Structure (extended XYZ):
```
4
Lattice="2.8169 0.0000 0.0000 0.0000 4.3658 0.0000 -1.3072 0.0000 5.1690" Properties=species:S:1:pos:R:3 pbc="T T T"
Ca 0.0000 0.0000 0.0000
Ni 0.7548 0.0000 2.5845
Pt 0.0381 2.1829 3.7412
Pt 1.4716 2.1829 1.4278
```

Calculated values
SG   No. 10
Mass density   12.8 g/cm³
D(E_F)   0.69 states/eV/atom
Calculated formation energy   -0.32 eV/atom

=====

21.
The following is a DFT calculation (meta-GGA SCAN) of Ba2V5P4O24 at its PBEsol-relaxed geometry.

Structure (extended XYZ):
```
70
Lattice="6.1687 -11.4676 0.0000 6.1687 11.4676 0.0000 -3.1026 0.0000 7.0319" Properties=species:S:1:pos:R:3 pbc="T T T"
Ba 0.0000 0.0000 0.0000
Ba 0.0554 0.0000 4.0804
Ba 7.3007 5.6897 0.2962
Ba 7.3007 -5.6897 0.2962
V 1.1889 4.2239 5.4813
V 4.2626 7.1493 2.1543
V 4.2393 3.2076 1.7171
V 3.2528 0.0000 5.3054
V 1.1889 -4.2239 5.4813
V 4.2393 -3.2076 1.7171
V 7.3665 3.3819 5.9098
V 4.2626 -7.1493 2.1543
V 8.6822 0.0000 2.6373
V 7.3665 -3.3819 5.9098
P 1.0577 3.0196 2.5052
P 4.3625 8.4155 5.1057
P 1.0577 -3.0196 2.5052
P 4.2615 2.9894 5.0972
P 7.4564 2.9646 2.5291
P 4.2615 -2.9894 5.0972
P 7.4564 -2.9646 2.5291
P 4.3625 -8.4155 5.1057
O -1.5082 1.6593 5.5963
O 1.2886 5.7468 4.9868
O 4.2961 7.0637 0.3731
O 0.6875 1.6552 1.9880
O 2.3540 3.6319 1.9056
O 4.2394 8.4197 3.5559
O 1.1497 2.9419 4.0691
O 3.0982 7.7813 5.7612
O -1.5082 -1.6593 5.5963
O 4.2837 4.2454 0.2178
O 4.2114 5.6412 2.6816
O 0.6875 -1.6552 1.9880
O 6.1789 7.3503 2.1281
O 3.0764 3.8490 5.5879
O 4.1441 1.7395 1.1660
O 5.4459 7.3679 5.5192
O 4.3245 2.9098 3.5860
O 2.8249 0.0000 3.7477
O 1.8301 0.0000 6.0897
O 1.1497 -2.9419 4.0691
O 6.1870 3.4607 1.8078
O 2.3540 -3.6319 1.9056
O 4.1441 -1.7395 1.1660
O 4.1736 1.5618 5.6879
O 5.4668 3.7208 5.7348
O 1.2886 -5.7468 4.9868
O 4.2837 -4.2454 0.2178
O 8.5329 3.9549 2.0133
O 4.3245 -2.9098 3.5860
O 7.3368 2.9852 4.0422
O 4.1736 -1.5618 5.6879
O 3.0764 -3.8490 5.5879
O 7.8126 1.5251 2.0604
O 4.2961 -7.0637 0.3731
O 4.2114 -5.6412 2.6816
O 6.1870 -3.4607 1.8078
O 7.3540 1.9019 6.5116
O 7.8126 -1.5251 2.0604
O 3.0982 -7.7813 5.7612
O 5.4668 -3.7208 5.7348
O 4.2394 -8.4197 3.5559
O 8.6758 0.0000 4.2511
O 7.3368 -2.9852 4.0422
O 6.1789 -7.3503 2.1281
O 10.2524 0.0000 2.1477
O 7.3540 -1.9019 6.5116
O 8.5329 -3.9549 2.0133
O 5.4459 -7.3679 5.5192
```

Calculated values
E_form (uncorrected)   -2683 meV/atom
SG   No. 8
Mass density   3.5 g/cm³
D(E_F)   0.14 states/eV/atom

=====

22.
The following is a DFT calculation (meta-GGA SCAN) of Mo2C at its PBEsol-relaxed geometry.

Structure (extended XYZ):
```
3
Lattice="3.0308 0.0000 0.0000 -1.5154 2.6247 0.0000 0.0000 0.0000 4.6170" Properties=species:S:1:pos:R:3 pbc="T T T"
Mo 0.0000 1.7498 1.1570
Mo 1.5154 0.8749 3.4600
C 0.0000 0.0000 0.0000
```

Calculated values
SG   No. 164
Mass density   9.2 g/cm³
D(E_F)   0.45 states/eV/atom
Calculated formation energy   -0.03 eV/atom

=====

23.
The following is a DFT calculation (meta-GGA SCAN) of HfTiBr2 at its PBEsol-relaxed geometry.

Structure (extended XYZ):
```
4
Lattice="1.6052 0.9268 9.0201 -1.6052 0.9268 9.0201 0.0000 -1.8536 9.0201" Properties=species:S:1:pos:R:3 pbc="T T T"
Hf 0.0000 0.0000 0.0000
Ti 0.0000 0.0000 13.5302
Br 0.0000 0.0000 2.7018
Br 0.0000 0.0000 24.3585
```

Calculated values
E_form (uncorrected)   -369 meV/atom
SG   No. 166
Mass density   8.0 g/cm³
D(E_F)   0.72 states/eV/atom

=====

24.
The following is a DFT calculation (meta-GGA SCAN) of HoAlCu at its PBEsol-relaxed geometry.

Structure (extended XYZ):
```
9
Lattice="6.9400 0.0000 0.0000 -3.4700 6.0102 0.0000 0.0000 0.0000 3.9183" Properties=species:S:1:pos:R:3 pbc="T T T"
Ho -2.0272 3.5112 0.0000
Ho 1.4428 2.4990 0.0000
Ho 4.0544 0.0000 0.0000
Al -0.8231 1.4256 1.9591
Al 1.6461 0.0000 1.9591
Al 2.6469 4.5846 1.9591
Cu 0.0000 0.0000 0.0000
Cu 0.0000 4.0068 1.9591
Cu 3.4700 2.0034 1.9591
```

Calculated values
SG   No. 189
Mass density   7.8 g/cm³
D(E_F)   0.60 states/eV/atom
Calculated formation energy   -0.53 eV/atom

=====

25.
The following is a DFT calculation (meta-GGA SCAN) of V2O5 at its PBEsol-relaxed geometry.

Structure (extended XYZ):
```
14
Lattice="5.1617 0.0000 0.0000 0.0000 11.6481 0.0000 0.0000 0.0000 3.2368" Properties=species:S:1:pos:R:3 pbc="T T T"
V 0.8054 1.5807 0.0000
V 1.7755 7.4048 0.0000
V 3.3862 4.2433 0.0000
V 4.3564 10.0674 0.0000
O 0.0000 0.0000 0.0000
O 0.4650 9.0464 0.0000
O 1.0426 7.1800 1.6184
O 1.5382 1.3560 1.6184
O 2.1159 3.2223 0.0000
O 2.5809 5.8241 0.0000
O 3.0459 8.4258 0.0000
O 3.6235 10.2922 1.6184
O 4.1191 4.4681 1.6184
O 4.6967 2.6018 0.0000
```

Calculated values
E_form (uncorrected)   -2422 meV/atom
SG   No. 55
Mass density   3.1 g/cm³